[1]
Below is a relaxed structure of CaSm2Ho, with properties calculated at the PBE level.

Unit cell a=8.198 b=8.198 c=8.198 alpha=90.00 beta=90.00 gamma=90.00
Fractional positions:
Ca1 0.000 0.000 0.000
Ca2 0.000 0.500 0.500
Ca3 0.500 0.000 0.500
Ca4 0.500 0.500 0.000
Sm1 0.250 0.250 0.250
Sm2 0.250 0.250 0.750
Sm3 0.250 0.750 0.250
Sm4 0.250 0.750 0.750
Sm5 0.750 0.250 0.250
Sm6 0.750 0.250 0.750
Sm7 0.750 0.750 0.250
Sm8 0.750 0.750 0.750
Ho1 0.000 0.000 0.500
Ho2 0.000 0.500 0.000
Ho3 0.500 0.000 0.000
Ho4 0.500 0.500 0.500

- energy above the most stable polymorph in this dataset (meV per atom) = 91
- ΔH_f (0 K) (eV per atom) = 0.137
- crystal system = cubic
- theoretical density (g/cm3) = 6.10


[2]
Below is a relaxed structure of ScVH4, with properties calculated at the PBE level.

Unit cell a=3.181 b=3.181 c=4.455 alpha=90.00 beta=90.00 gamma=90.00
Fractional positions:
Sc1 0.000 0.000 0.000
V1 0.500 0.500 0.500
H1 0.000 0.500 0.281
H2 0.000 0.500 0.719
H3 0.500 0.000 0.281
H4 0.500 0.000 0.719

- crystal system = tetragonal
- theoretical density (g/cm3) = 3.68


[3]
Below is a relaxed structure of Bi3HOs, with properties calculated at the PBE level.

Unit cell a=4.721 b=4.721 c=4.721 alpha=90.00 beta=90.00 gamma=90.00
Fractional positions:
Bi1 0.000 0.000 0.500
Bi2 0.000 0.500 0.000
Bi3 0.500 0.000 0.000
H1 0.000 0.000 0.000
Os1 0.500 0.500 0.500

- crystal system = cubic
- theoretical density (g/cm3) = 12.91


[4]
Below is a relaxed structure of PrNd9Pb2, with properties calculated at the PBE level.

Unit cell a=5.023 b=5.023 c=15.569 alpha=90.00 beta=90.00 gamma=90.00
Fractional positions:
Pr1 0.000 0.000 0.000
Nd1 0.000 0.500 0.175
Nd2 0.000 0.500 0.500
Nd3 0.000 0.500 0.825
Nd4 0.500 0.000 0.175
Nd5 0.500 0.000 0.500
Nd6 0.500 0.000 0.825
Nd7 0.500 0.500 0.000
Nd8 0.500 0.500 0.340
Nd9 0.500 0.500 0.660
Pb1 0.000 0.000 0.338
Pb2 0.000 0.000 0.662

- ΔH_f (0 K) (eV per atom) = -0.206
- crystal system = tetragonal
- theoretical density (g/cm3) = 7.84


| no. | calculated total energy (eV/atom) |
| --- | --- |
| 1 | -3.868 |
| 2 | -5.232 |
| 3 | -4.247 |
| 4 | -4.798 |